Compound: NaGdGe4
Source: Alexandria via LeMat-Bulk
Functional: PBE
Structure: relaxed

Values from the calculation:
For the formation energy, the calculation gives -1.68 eV per formula unit. The uncorrected energy is -5.92 eV per atom. For the total magnetic moment, the calculation gives 7.02 μB/cell.

Cell lengths 5.630, 5.630, 5.630 Å; angles 60.00, 60.00, 60.00 degrees
Sites, in units of the cell vectors:
Na  0.000  0.000  0.000
Gd  0.250  0.250  0.250
Ge  0.126  0.625  0.625
Ge  0.625  0.126  0.625
Ge  0.625  0.625  0.126
Ge  0.625  0.625  0.625